a | Computed, not measured: crystalline Cr4Mo at its relaxed geometry at the PBEsol level of DFT.

Values from the calculation:
DOS at the Fermi energy	6.9	states/eV/cell

Unit cell a=5.457 b=5.457 c=5.457 alpha=140.68 beta=140.68 gamma=56.82
Atoms (fractional coordinates):
Cr: 0.114 0.114 0.000
Cr: 0.250 0.750 0.500
Cr: 0.750 0.250 0.500
Cr: 0.886 0.886 0.000
Mo: 0.500 0.500 0.000

b | Computed, not measured: crystalline Cr4Mo at its relaxed geometry at the PBEsol level of DFT.

Values from the calculation:
DOS at the Fermi energy	3.3	states/eV/cell

Unit cell a=4.784 b=4.784 c=4.784 alpha=95.23 beta=95.23 gamma=144.85
Atoms (fractional coordinates):
Cr: 0.099 0.694 0.793
Cr: 0.306 0.099 0.405
Cr: 0.694 0.901 0.595
Cr: 0.901 0.306 0.207
Mo: 0.500 0.500 0.000

Short version: a is the least stable of them.

a | Computed, not measured: crystalline CrNiMo2 at its relaxed geometry at the PBEsol level of DFT.

Values from the calculation:
DOS at the Fermi energy	3.8	states/eV/cell

Unit cell a=4.547 b=4.547 c=4.547 alpha=134.42 beta=127.03 gamma=72.41
Atoms (fractional coordinates):
Cr: 0.000 0.000 0.000
Ni: 0.500 0.500 0.000
Mo: 0.237 0.737 0.500
Mo: 0.763 0.263 0.500

b | Computed, not measured: crystalline CrNiMo2 at its relaxed geometry at the PBEsol level of DFT.

Values from the calculation:
DOS at the Fermi energy	4.5	states/eV/cell

Unit cell a=2.532 b=3.876 c=5.366 alpha=90.00 beta=90.00 gamma=90.00
Atoms (fractional coordinates):
Cr: 0.000 0.000 0.000
Ni: 0.000 0.000 0.500
Mo: 0.500 0.500 0.252
Mo: 0.500 0.500 0.748

Short version: b is the least stable of them.

a | Computed, not measured: crystalline CrNiMo2 at its relaxed geometry at the PBEsol level of DFT.

Values from the calculation:
DOS at the Fermi energy	4.1	states/eV/cell

Unit cell a=4.552 b=4.552 c=2.655 alpha=90.00 beta=90.00 gamma=108.15
Atoms (fractional coordinates):
Cr: 0.000 0.000 0.000
Ni: 0.500 0.500 0.000
Mo: 0.000 0.500 0.500
Mo: 0.500 0.000 0.500

b | Computed, not measured: crystalline CrNiMo2 at its relaxed geometry at the PBEsol level of DFT.

Values from the calculation:
DOS at the Fermi energy	3.6	states/eV/cell

Unit cell a=2.584 b=2.584 c=8.167 alpha=90.00 beta=90.00 gamma=105.98
Atoms (fractional coordinates):
Cr: 0.000 0.000 0.000
Ni: 0.000 0.000 0.500
Mo: 0.500 0.500 0.254
Mo: 0.500 0.500 0.746

Short version: a is the least stable of them.

a | Computed, not measured: crystalline CrMoOs2 at its relaxed geometry at the PBEsol level of DFT.

Values from the calculation:
DOS at the Fermi energy	3.8	states/eV/cell

Unit cell a=4.665 b=4.665 c=4.648 alpha=99.24 beta=99.24 gamma=33.62
Atoms (fractional coordinates):
Cr: 0.000 0.000 0.000
Mo: 0.757 0.757 0.261
Os: 0.256 0.256 0.764
Os: 0.511 0.511 0.523

b | Computed, not measured: crystalline CrMoOs2 at its relaxed geometry at the PBEsol level of DFT.

Values from the calculation:
DOS at the Fermi energy	5.1	states/eV/cell

Unit cell a=2.648 b=2.648 c=8.596 alpha=90.00 beta=90.00 gamma=112.83
Atoms (fractional coordinates):
Cr: 0.000 0.000 0.000
Mo: 0.500 0.500 0.761
Os: 0.000 0.000 0.503
Os: 0.500 0.500 0.235

c | Computed, not measured: crystalline CrMoOs2 at its relaxed geometry at the PBEsol level of DFT.

Values from the calculation:
DOS at the Fermi energy	5.2	states/eV/cell

Unit cell a=2.895 b=4.367 c=4.393 alpha=90.00 beta=90.00 gamma=90.00
Atoms (fractional coordinates):
Cr: 0.000 0.000 0.000
Mo: 0.500 0.000 0.500
Os: 0.000 0.500 0.500
Os: 0.500 0.500 0.000

Short version: b is the least stable of them.

a | Computed, not measured: crystalline CrMoOs2 at its relaxed geometry at the PBEsol level of DFT.

Values from the calculation:
DOS at the Fermi energy	4.3	states/eV/cell

Unit cell a=4.640 b=4.640 c=2.704 alpha=90.00 beta=90.00 gamma=108.90
Atoms (fractional coordinates):
Cr: 0.000 0.000 0.000
Mo: 0.500 0.500 0.000
Os: 0.000 0.500 0.500
Os: 0.500 0.000 0.500

b | Computed, not measured: crystalline CrMoOs2 at its relaxed geometry at the PBEsol level of DFT.

Values from the calculation:
DOS at the Fermi energy	3.6	states/eV/cell

Unit cell a=8.907 b=8.907 c=8.907 alpha=17.45 beta=17.45 gamma=17.45
Atoms (fractional coordinates):
Cr: 0.000 0.000 0.000
Mo: 0.248 0.248 0.248
Os: 0.497 0.497 0.497
Os: 0.743 0.743 0.743

c | Computed, not measured: crystalline CrMoOs2 at its relaxed geometry at the PBEsol level of DFT.

Values from the calculation:
DOS at the Fermi energy	4.5	states/eV/cell

Unit cell a=4.641 b=4.641 c=4.641 alpha=131.44 beta=131.44 gamma=71.12
Atoms (fractional coordinates):
Cr: 0.000 0.000 0.000
Mo: 0.500 0.500 0.000
Os: 0.250 0.750 0.500
Os: 0.750 0.250 0.500

Short version: b is the least stable of them.

a | Computed, not measured: crystalline Cr2MoOs at its relaxed geometry at the PBEsol level of DFT.

Values from the calculation:
DOS at the Fermi energy	4.8	states/eV/cell

Unit cell a=2.952 b=2.952 c=5.947 alpha=90.00 beta=90.00 gamma=90.00
Atoms (fractional coordinates):
Cr: 0.000 0.000 0.242
Cr: 0.000 0.000 0.758
Mo: 0.500 0.500 0.000
Os: 0.500 0.500 0.500

b | Computed, not measured: crystalline Cr2MoOs at its relaxed geometry at the PBEsol level of DFT.

Values from the calculation:
DOS at the Fermi energy	4.8	states/eV/cell

Unit cell a=2.977 b=4.144 c=4.273 alpha=90.00 beta=90.00 gamma=90.00
Atoms (fractional coordinates):
Cr: 0.000 0.000 0.000
Cr: 0.500 0.000 0.500
Mo: 0.000 0.500 0.500
Os: 0.500 0.500 0.000

c | Computed, not measured: crystalline Cr2MoOs at its relaxed geometry at the PBEsol level of DFT.

Values from the calculation:
DOS at the Fermi energy	4.0	states/eV/cell

Unit cell a=4.873 b=4.873 c=4.873 alpha=144.34 beta=128.09 gamma=64.57
Atoms (fractional coordinates):
Cr: 0.241 0.241 0.000
Cr: 0.759 0.759 0.000
Mo: 0.000 0.500 0.500
Os: 0.500 0.000 0.500

d | Computed, not measured: crystalline Cr2MoOs at its relaxed geometry at the PBEsol level of DFT.

Values from the calculation:
DOS at the Fermi energy	5.0	states/eV/cell

Unit cell a=4.184 b=4.184 c=4.184 alpha=60.00 beta=60.00 gamma=60.00
Atoms (fractional coordinates):
Cr: 0.250 0.250 0.250
Cr: 0.750 0.750 0.750
Mo: 0.000 0.000 0.000
Os: 0.500 0.500 0.500

Short version: b is the least stable of them.